1.
A relaxed Y2BeFeHg crystal. Source: Alexandria, functional PBE.

Structure (POSCAR):
```
Y2BeFeHg
1.0
5.2552 0.0000 0.0000
0.0000 3.9758 0.0000
0.0000 0.0000 5.2552
Y Fe Hg Be
2 1 1 1
Direct
0.0000 0.0000 0.5000
0.5000 0.0000 0.0000
0.0000 0.5000 0.0000
0.5000 0.5000 0.5000
0.0000 0.0000 0.0000
```

Output
SG   P4/mmm (123)
E_tot   -24.85 eV/f.u.

=====

2.
A relaxed HoBe2Fe3 crystal. Source: Alexandria, functional PBE.

Structure (POSCAR):
```
HoBe2Fe3
1.0
-1.3695 -2.9614 -1.5251
3.2421 0.4085 -3.7047
1.1669 -2.6133 4.0268
Ho Fe Be
1 3 2
Direct
0.0000 0.0012 0.0000
0.5000 0.5013 0.0000
0.5000 0.0012 0.5000
0.5000 0.5013 0.5000
0.0000 0.6679 0.3334
0.0000 0.3345 0.6666
```

Output
SG   P6/mmm (191)
E_tot   -38.38 eV/f.u.

=====

3.
A relaxed HoBe5Fe7 crystal. Source: Alexandria, functional PBE.

Structure (POSCAR):
```
HoBe5Fe7
1.0
-3.4585 1.8469 -2.2288
-5.2085 -2.9046 1.1122
-2.7498 4.3055 3.2717
Be Fe Ho
5 7 1
Direct
0.9979 0.9986 0.5053
0.4982 0.9986 0.5053
0.9979 0.5053 0.9986
0.7322 0.7678 0.7678
0.4982 0.5053 0.9986
0.0000 0.6433 0.3568
0.2751 0.2249 0.2249
0.0000 0.3568 0.6433
0.6428 0.3572 0.3572
0.3608 0.6392 0.6392
0.4978 0.2226 0.7819
0.4978 0.7819 0.2226
0.0015 0.9985 0.9985
```

Output
SG   Imm2 (44)
E_tot   -84.26 eV/f.u.